Here is crystalline Nb2CoTe at its relaxed geometry from OQMD via LeMat-Bulk. Energies are from PBE. Values from VASP.

```
&SYSTEM
  ibrav = 0, nat = 4, ntyp = 3
/
ATOMIC_SPECIES
Te 127.60 Te.upf
Co 58.93 Co.upf
Nb 92.91 Nb.upf
ATOMIC_POSITIONS crystal
Te 0.500 0.500 0.500
Co 0.250 0.250 0.250
Nb 0.000 0.000 0.000
Nb 0.750 0.750 0.750
CELL_PARAMETERS angstrom
0.000 3.236 3.236
3.236 0.000 3.236
3.236 3.236 0.000
```

- V: 67.74 Å³ per cell
- E_tot: -7.2830 eV per atom
- Size of the total moment: 0.94 μB per cell